# MnCo4Ni4

A relaxed MnCo4Ni4 crystal (PBE, Alexandria via LeMat-Bulk).

Crystal system: tetragonal

Geometry as POSCAR:
```
MnCo4Ni4
1.0
-3.7667 3.7667 1.7663
3.7667 -3.7667 1.7663
3.7667 3.7667 -1.7663
Mn Co Ni
1 4 4
Direct
0.0000 0.0000 0.0000
0.0000 0.3404 0.3404
0.0000 0.6596 0.6596
0.3404 0.0000 0.3404
0.6596 0.0000 0.6596
0.3306 0.3306 0.6612
0.3306 0.6694 0.0000
0.6694 0.3306 0.0000
0.6694 0.6694 0.3388
```

# MnCo2Ni

A relaxed MnCo2Ni crystal (PBE, Alexandria via LeMat-Bulk).

Crystal system: monoclinic

Geometry as POSCAR:
```
MnCo2Ni
1.0
8.3745 0.0000 0.0000
0.0000 2.5645 0.0000
-0.8292 0.0000 4.2421
Mn Co Ni
2 4 2
Direct
0.0000 0.0000 0.0000
0.5000 0.5000 0.0000
0.0013 0.5000 0.4999
0.2552 0.5000 0.2727
0.5013 0.0000 0.4999
0.7552 0.0000 0.2727
0.2473 0.0000 0.7575
0.7473 0.5000 0.7575
```

# MnCo2Ni9

A relaxed MnCo2Ni9 crystal (PBE, Alexandria via LeMat-Bulk).

Crystal system: tetragonal

Geometry as POSCAR:
```
MnCo2Ni9
1.0
3.5366 0.0000 0.0000
0.0000 3.5366 0.0000
0.0000 0.0000 10.6531
Mn Co Ni
1 2 9
Direct
0.0000 0.0000 0.0000
0.0000 0.0000 0.3347
0.0000 0.0000 0.6653
0.0000 0.5000 0.1718
0.0000 0.5000 0.5000
0.0000 0.5000 0.8282
0.5000 0.0000 0.1718
0.5000 0.0000 0.5000
0.5000 0.0000 0.8282
0.5000 0.5000 0.0000
0.5000 0.5000 0.3353
0.5000 0.5000 0.6647
```

Q: Which formation energy values were calculated for the entries above? A: 0.26; 6.84; -2.22, in kJ per mole of atoms.